[1]
Ni3Pt2Rh after structural relaxation, computed with PBE.

For the total magnetization, the calculation gives 3.6 μB per formula unit. The value obtained for the density of states at the Fermi level is 10.444 states/eV per cell. Its formation energy is -48 meV per atom.

It has space group P4/mmm (No. 123), with a = 2.6930 Å, b = 2.6930 Å, c = 10.9654 Å, α = 90.00°, β = 90.00° and γ = 90.00°. Symmetry generates all atoms from Ni at (0.0000, 0.0000, 0.0000), Ni at (0.0000, 0.0000, 0.3373), Pt at (0.5000, 0.5000, 0.1679) and Rh at (0.5000, 0.5000, 0.5000).

=====

[2]
Ni2Pt3Rh2 after structural relaxation, computed with PBE.

For the total magnetization, the calculation gives 3.5 μB per formula unit. The value obtained for the density of states at the Fermi level is 28.765 states/eV per cell. Its formation energy is 80 meV per atom.

It has space group Immm (No. 71), with a = 2.7027 Å, b = 4.1273 Å, c = 17.9699 Å, α = 90.00°, β = 90.00° and γ = 90.00°. Symmetry generates all atoms from Ni at (0.0000, 0.0000, 0.1493), Pt at (0.0000, 0.0000, 0.2936), Pt at (0.0000, 0.5000, 0.5000) and Rh at (0.0000, 0.5000, 0.0713).

=====

[3]
NiPt5Rh2 after structural relaxation, computed with PBE.

For the total magnetization, the calculation gives 3.2 μB per formula unit. The value obtained for the density of states at the Fermi level is 57.758 states/eV per cell. Its formation energy is -29 meV per atom.

It has space group Fmmm (No. 69), with a = 5.5155 Å, b = 7.7941 Å, c = 11.0655 Å, α = 90.00°, β = 90.00° and γ = 90.00°. Symmetry generates all atoms from Ni at (0.0000, 0.0000, 0.0000), Pt at (0.0000, 0.0000, 0.5000), Pt at (0.2500, 0.2500, 0.1249) and Rh at (0.0000, 0.0000, 0.2488).

=====

[4]
NiPt12Rh3 after structural relaxation, computed with PBE.

For the total magnetization, the calculation gives 2.8 μB per formula unit. The value obtained for the density of states at the Fermi level is 30.956 states/eV per cell. Its formation energy is -32 meV per atom.

It has space group P4/mmm (No. 123), with a = 3.9264 Å, b = 3.9264 Å, c = 15.7625 Å, α = 90.00°, β = 90.00° and γ = 90.00°. Symmetry generates all atoms from Ni at (0.0000, 0.0000, 0.0000), Pt at (0.0000, 0.5000, 0.1213), Pt at (0.0000, 0.5000, 0.3739), Pt at (0.5000, 0.5000, 0.0000), Pt at (0.5000, 0.5000, 0.2469), Pt at (0.5000, 0.5000, 0.5000), Rh at (0.0000, 0.0000, 0.2489) and Rh at (0.0000, 0.0000, 0.5000).

=====

[5]
Ni2PtRh8 after structural relaxation, computed with PBE.

For the total magnetization, the calculation gives 1.2 μB per formula unit. The value obtained for the density of states at the Fermi level is 39.741 states/eV per cell. Its formation energy is 145 meV per atom.

It has space group C2/m (No. 12), with a = 7.6292 Å, b = 9.9369 Å, c = 4.5048 Å, α = 90.00°, β = 112.98° and γ = 90.00°. Symmetry generates all atoms from Ni at (0.0000, 0.1334, 0.0000), Pt at (0.0000, 0.0000, 0.5000), Rh at (0.0000, 0.2710, 0.5000), Rh at (0.1888, 0.3596, 0.1243) and Rh at (0.1890, 0.5000, 0.6332).

=====

[6]
Ni2PtRh8 after structural relaxation, computed with PBE.

For the total magnetization, the calculation gives 0.0 μB per formula unit. The value obtained for the density of states at the Fermi level is 38.806 states/eV per cell. Its formation energy is 238 meV per atom.

It has space group Cmmm (No. 65), with a = 7.8645 Å, b = 10.1532 Å, c = 3.9893 Å, α = 90.00°, β = 90.00° and γ = 90.00°. Symmetry generates all atoms from Ni at (0.0000, 0.1137, 0.0000), Pt at (0.0000, 0.5000, 0.5000), Rh at (0.0000, 0.2420, 0.5000), Rh at (0.1617, 0.0000, 0.5000) and Rh at (0.1711, 0.3656, 0.0000).

=====

[7]
Ni4PtRh5 after structural relaxation, computed with PBE.

For the total magnetization, the calculation gives 1.8 μB per formula unit. The value obtained for the density of states at the Fermi level is 32.370 states/eV per cell. Its formation energy is 262 meV per atom.

It has space group C2/m (No. 12), with a = 8.4878 Å, b = 7.7434 Å, c = 4.5060 Å, α = 90.00°, β = 97.11° and γ = 90.00°. Symmetry generates all atoms from Ni at (0.0000, 0.1627, 0.0000), Ni at (0.2480, 0.0000, 0.2476), Pt at (0.0000, 0.5000, 0.0000), Rh at (0.0000, 0.0000, 0.5000) and Rh at (0.2483, 0.3292, 0.2548).

=====

[8]
Ni8Pt3Rh2 after structural relaxation, computed with PBE.

For the total magnetization, the calculation gives 8.2 μB per formula unit. The value obtained for the density of states at the Fermi level is 46.768 states/eV per cell. Its formation energy is 245 meV per atom.

It has space group Cmmm (No. 65), with a = 6.0749 Å, b = 14.6204 Å, c = 4.0340 Å, α = 90.00°, β = 90.00° and γ = 90.00°. Symmetry generates all atoms from Ni at (0.0000, 0.1331, 0.0000), Ni at (0.0000, 0.3390, 0.0000), Ni at (0.2015, 0.3839, 0.5000), Pt at (0.0000, 0.0000, 0.5000), Pt at (0.2116, 0.5000, 0.0000) and Rh at (0.0000, 0.2351, 0.5000).

=====

[9]
Ni6PtRh after structural relaxation, computed with PBE.

For the total magnetization, the calculation gives 5.6 μB per formula unit. The value obtained for the density of states at the Fermi level is 103.233 states/eV per cell. Its formation energy is -19 meV per atom.

It has space group Cmmm (No. 65), with a = 7.2766 Å, b = 10.2929 Å, c = 10.3148 Å, α = 90.00°, β = 90.00° and γ = 90.00°. Symmetry generates all atoms from Ni at (0.0000, 0.0000, 0.0000), Ni at (0.0000, 0.0000, 0.5000), Ni at (0.0000, 0.2486, 0.2478), Ni at (0.0000, 0.5000, 0.0000), Ni at (0.0000, 0.5000, 0.5000), Ni at (0.2489, 0.1245, 0.3737), Ni at (0.2487, 0.1256, 0.1238), Pt at (0.0000, 0.2495, 0.5000), Pt at (0.0000, 0.5000, 0.2492), Rh at (0.0000, 0.0000, 0.2495) and Rh at (0.0000, 0.2492, 0.0000).

=====

[10]
Ni2Pt6Rh after structural relaxation, computed with PBE.

For the total magnetization, the calculation gives 4.0 μB per formula unit. The value obtained for the density of states at the Fermi level is 27.393 states/eV per cell. Its formation energy is -36 meV per atom.

It has space group C2/m (No. 12), with a = 14.1616 Å, b = 2.7794 Å, c = 8.2001 Å, α = 90.00°, β = 124.90° and γ = 90.00°. Symmetry generates all atoms from Ni at (0.1642, 0.0000, 0.3300), Pt at (0.0044, 0.5000, 0.3332), Pt at (0.1647, 0.0000, 0.0026), Pt at (0.1741, 0.0000, 0.6590) and Rh at (0.0000, 0.5000, 0.0000).